Compound: V3Pb5F19
Source: Alexandria
Functional: SCAN
Structure: single point on PBEsol structure

Cell: 10.8175 10.8175 10.8175 Å, 97.15 97.15 138.67°
Atoms (fractional coordinates):
V 0.0000 0.0000 0.0000
V 0.0398 0.5398 0.1788
V 0.3610 0.8610 0.8212
V 0.5000 0.5000 0.0000
V 0.5398 0.3610 0.5000
V 0.8610 0.0398 0.5000
Pb 0.0508 0.5508 0.5000
Pb 0.0798 0.9281 0.7019
Pb 0.2263 0.3780 0.2981
Pb 0.3780 0.0798 0.1517
Pb 0.4281 0.5798 0.7019
Pb 0.5508 0.0508 0.5000
Pb 0.5798 0.8780 0.1517
Pb 0.7263 0.4281 0.8483
Pb 0.8780 0.7263 0.2981
Pb 0.9281 0.2263 0.8483
F 0.0449 0.7795 0.5000
F 0.0642 0.8856 0.9344
F 0.0930 0.7430 0.1350
F 0.0974 0.7270 0.7487
F 0.1080 0.2430 0.6500
F 0.1298 0.0642 0.1786
F 0.2270 0.5974 0.7487
F 0.2268 0.7268 0.3523
F 0.2430 0.5930 0.1350
F 0.2511 0.2511 0.0000
F 0.2795 0.5449 0.5000
F 0.3487 0.0974 0.3704
F 0.3653 0.8653 0.9981
F 0.3672 0.3653 0.5000
F 0.3745 0.8745 0.6477
F 0.3856 0.5642 0.9344
F 0.4512 0.3856 0.8214
F 0.4580 0.1080 0.8650
F 0.4783 0.2270 0.6296
F 0.5449 0.0449 0.2654
F 0.5642 0.6298 0.1786
F 0.5930 0.4580 0.3500
F 0.5974 0.8487 0.3704
F 0.6080 0.9580 0.8650
F 0.6298 0.4512 0.0656
F 0.7268 0.3745 0.5000
F 0.7270 0.9783 0.6296
F 0.7430 0.6080 0.6500
F 0.7511 0.7511 0.0000
F 0.7795 0.2795 0.7346
F 0.8487 0.4783 0.2513
F 0.8653 0.8672 0.5000
F 0.8672 0.3672 0.0019
F 0.8745 0.2268 0.5000
F 0.8856 0.9512 0.8214
F 0.9512 0.1298 0.0656
F 0.9580 0.0930 0.3500
F 0.9783 0.3487 0.2513

Output
uncorrected formation energy	-2.80	eV/atom
crystal system	tetragonal
space group	I4cm, No. 108
theoretical density	6.58	Mg/m³
total moment	6.000	μB/f.u.
electronic total energy	-1148.2	eV/cell

***

Compound: Pb3WF
Source: Alexandria
Functional: SCAN
Structure: single point on PBEsol structure

Cell: 5.2789 5.2789 5.2789 Å, 90.00 90.00 90.00°
Atoms (fractional coordinates):
Pb 0.0000 0.0000 0.5000
Pb 0.0000 0.5000 0.0000
Pb 0.5000 0.0000 0.0000
W 0.0000 0.0000 0.0000
F 0.5000 0.5000 0.5000

Output
uncorrected formation energy	0.06	eV/atom
crystal system	cubic
space group	Pm-3m, No. 221
theoretical density	9.31	Mg/m³
total moment	0.000	μB/f.u.
electronic total energy	-300.3	eV/cell

***

Compound: Y2PbF
Source: Alexandria
Functional: SCAN
Structure: single point on PBEsol structure

Cell: 5.0755 5.0755 5.0755 Å, 60.00 60.00 60.00°
Atoms (fractional coordinates):
Y 0.2500 0.2500 0.2500
Y 0.7500 0.7500 0.7500
Pb 0.0000 0.0000 0.0000
F 0.5000 0.5000 0.5000

Output
uncorrected formation energy	-1.35	eV/atom
crystal system	cubic
space group	Fm-3m, No. 225
theoretical density	7.26	Mg/m³
total moment	0.960	μB/f.u.
electronic total energy	-140.4	eV/cell

***

Compound: YPbF3
Source: Alexandria
Functional: SCAN
Structure: single point on PBEsol structure

Cell: 4.7219 4.7219 4.7219 Å, 90.00 90.00 90.00°
Atoms (fractional coordinates):
Y 0.0000 0.0000 0.0000
Pb 0.5000 0.5000 0.5000
F 0.0000 0.5000 0.5000
F 0.5000 0.0000 0.5000
F 0.5000 0.5000 0.0000

Output
uncorrected formation energy	-1.68	eV/atom
crystal system	cubic
space group	Pm-3m, No. 221
theoretical density	5.57	Mg/m³
total moment	2.005	μB/f.u.
electronic total energy	-122.7	eV/cell

***

Compound: ZnPbF2
Source: Alexandria
Functional: SCAN
Structure: single point on PBEsol structure

Cell: 8.0301 8.0301 8.0301 Å, 23.11 23.11 23.11°
Atoms (fractional coordinates):
Zn 0.0000 0.0000 0.0000
Pb 0.5000 0.5000 0.5000
F 0.0848 0.0848 0.0848
F 0.9152 0.9152 0.9152

Output
uncorrected formation energy	-1.37	eV/atom
crystal system	trigonal
space group	R-3m, No. 166
theoretical density	7.37	Mg/m³
total moment	0.000	μB/f.u.
electronic total energy	-101.9	eV/cell

***

Compound: ZrPb3F10
Source: Alexandria
Functional: SCAN
Structure: single point on PBEsol structure

Cell: 8.2377 8.2377 5.9708 Å, 90.00 90.00 100.83°
Atoms (fractional coordinates):
Zr 0.1825 0.8175 0.7500
Zr 0.8175 0.1825 0.2500
Pb 0.1089 0.3209 0.7500
Pb 0.3209 0.1089 0.2500
Pb 0.3885 0.6115 0.2500
Pb 0.6115 0.3885 0.7500
Pb 0.6791 0.8911 0.7500
Pb 0.8911 0.6791 0.2500
F 0.0773 0.2575 0.2500
F 0.1016 0.8984 0.0464
F 0.1016 0.8984 0.4536
F 0.1533 0.6040 0.5381
F 0.1533 0.6040 0.9619
F 0.2575 0.0773 0.7500
F 0.3641 0.3641 0.0000
F 0.3641 0.3641 0.5000
F 0.3960 0.8467 0.5381
F 0.3960 0.8467 0.9619
F 0.6040 0.1533 0.0381
F 0.6040 0.1533 0.4619
F 0.6359 0.6359 0.0000
F 0.6359 0.6359 0.5000
F 0.7425 0.9227 0.2500
F 0.8467 0.3960 0.0381
F 0.8467 0.3960 0.4619
F 0.8984 0.1016 0.5464
F 0.8984 0.1016 0.9536
F 0.9227 0.7425 0.7500

Output
uncorrected formation energy	-3.02	eV/atom
crystal system	orthorhombic
space group	Cmcm, No. 63
theoretical density	7.53	Mg/m³
total moment	0.000	μB/f.u.
electronic total energy	-671.5	eV/cell

***

Compound: Zr2PbF2
Source: Alexandria
Functional: SCAN
Structure: single point on PBEsol structure

Cell: 6.5409 6.5409 6.5409 Å, 147.29 147.29 46.93°
Atoms (fractional coordinates):
Zr 0.1264 0.1264 0.0000
Zr 0.8736 0.8736 0.0000
Pb 0.5000 0.5000 0.0000
F 0.2500 0.7500 0.5000
F 0.7500 0.2500 0.5000

Output
uncorrected formation energy	-2.02	eV/atom
crystal system	tetragonal
space group	I4/mmm, No. 139
theoretical density	8.72	Mg/m³
total moment	0.011	μB/f.u.
electronic total energy	-154.4	eV/cell

***

Compound: ZrPbF6
Source: Alexandria
Functional: SCAN
Structure: single point on PBEsol structure

Cell: 6.7044 6.7044 5.3468 Å, 90.00 90.00 111.84°
Atoms (fractional coordinates):
Zr 0.2500 0.2500 0.0000
Zr 0.7500 0.7500 0.0000
Pb 0.2500 0.7500 0.5325
Pb 0.7500 0.2500 0.4675
F 0.0596 0.3156 0.7423
F 0.0720 0.9280 0.8422
F 0.1844 0.4404 0.2577
F 0.3156 0.0596 0.2577
F 0.4280 0.5720 0.8422
F 0.4404 0.1844 0.7423
F 0.5596 0.8156 0.2577
F 0.5720 0.4280 0.1578
F 0.6844 0.9404 0.7423
F 0.8156 0.5596 0.7423
F 0.9280 0.0720 0.1578
F 0.9404 0.6844 0.2577

Output
uncorrected formation energy	-3.45	eV/atom
crystal system	orthorhombic
space group	Cmme, No. 67
theoretical density	6.14	Mg/m³
total moment	0.000	μB/f.u.
electronic total energy	-310.6	eV/cell

***

Compound: PdF3
Source: Alexandria
Functional: SCAN
Structure: single point on PBEsol structure

Cell: 5.3755 5.3755 7.0718 Å, 90.00 90.00 120.00°
Atoms (fractional coordinates):
Pd 0.0000 0.0000 0.0000
Pd 0.3333 0.6667 0.6603
Pd 0.6667 0.3333 0.3397
F 0.0000 0.3963 0.5000
F 0.0965 0.7630 0.8222
F 0.2370 0.3335 0.8222
F 0.3335 0.2370 0.1778
F 0.3963 0.0000 0.5000
F 0.6037 0.6037 0.5000
F 0.6665 0.9035 0.8222
F 0.7630 0.0965 0.1778
F 0.9035 0.6665 0.1778

Output
uncorrected formation energy	-1.38	eV/atom
crystal system	trigonal
space group	P321, No. 150
theoretical density	4.60	Mg/m³
total moment	0.337	μB/f.u.
electronic total energy	-146.7	eV/cell

***

Compound: PdF3
Source: Alexandria
Functional: SCAN
Structure: single point on PBEsol structure

Cell: 5.5252 5.5252 5.5252 Å, 54.45 54.45 54.45°
Atoms (fractional coordinates):
Pd 0.0000 0.0000 0.0000
Pd 0.5000 0.5000 0.5000
F 0.1080 0.7500 0.3920
F 0.2500 0.6080 0.8920
F 0.3920 0.1080 0.7500
F 0.6080 0.8920 0.2500
F 0.7500 0.3920 0.1080
F 0.8920 0.2500 0.6080

Output
uncorrected formation energy	-1.44	eV/atom
crystal system	trigonal
space group	R-3c, No. 167
theoretical density	5.23	Mg/m³
total moment	1.002	μB/f.u.
electronic total energy	-98.3	eV/cell

***

Compound: PdPtF6
Source: Alexandria
Functional: SCAN
Structure: single point on PBEsol structure

Cell: 5.5649 5.5649 5.5649 Å, 53.78 53.78 53.78°
Atoms (fractional coordinates):
Pd 0.0000 0.0000 0.0000
Pt 0.5000 0.5000 0.5000
F 0.1010 0.4252 0.7334
F 0.2666 0.8990 0.5748
F 0.4252 0.7334 0.1010
F 0.5748 0.2666 0.8990
F 0.7334 0.1010 0.4252
F 0.8990 0.5748 0.2666

Output
uncorrected formation energy	-1.49	eV/atom
crystal system	trigonal
space group	R-3, No. 148
theoretical density	6.62	Mg/m³
total moment	1.997	μB/f.u.
electronic total energy	-136.1	eV/cell

***

Compound: Rb3PdF5
Source: Alexandria
Functional: SCAN
Structure: single point on PBEsol structure

Cell: 7.3979 7.3979 6.3607 Å, 90.00 90.00 90.00°
Atoms (fractional coordinates):
Rb 0.0000 0.0000 0.0000
Rb 0.1738 0.3262 0.5000
Rb 0.3262 0.8262 0.5000
Rb 0.5000 0.5000 0.0000
Rb 0.6738 0.1738 0.5000
Rb 0.8262 0.6738 0.5000
Pd 0.0000 0.5000 0.0000
Pd 0.5000 0.0000 0.0000
F 0.0000 0.0000 0.5000
F 0.1340 0.6340 0.2136
F 0.1340 0.6340 0.7864
F 0.3660 0.1340 0.2136
F 0.3660 0.1340 0.7864
F 0.5000 0.5000 0.5000
F 0.6340 0.8660 0.2136
F 0.6340 0.8660 0.7864
F 0.8660 0.3660 0.2136
F 0.8660 0.3660 0.7864

Output
uncorrected formation energy	-2.45	eV/atom
crystal system	tetragonal
space group	P4/mbm, No. 127
theoretical density	4.37	Mg/m³
total moment	0.181	μB/f.u.
electronic total energy	-269.6	eV/cell

***

Repeat the fifth record exactly.
Compound: ZnPbF2
Source: Alexandria
Functional: SCAN
Structure: single point on PBEsol structure

Cell: 8.0301 8.0301 8.0301 Å, 23.11 23.11 23.11°
Atoms (fractional coordinates):
Zn 0.0000 0.0000 0.0000
Pb 0.5000 0.5000 0.5000
F 0.0848 0.0848 0.0848
F 0.9152 0.9152 0.9152

Output
uncorrected formation energy	-1.37	eV/atom
crystal system	trigonal
space group	R-3m, No. 166
theoretical density	7.37	Mg/m³
total moment	0.000	μB/f.u.
electronic total energy	-101.9	eV/cell